[1]
Density functional theory data (PBE) for ZrTi3Mn after structural relaxation.

Cell and atoms, written as CIF:
```
data_ZrTi3Mn
_chemical_formula_sum 'Zr1 Ti3 Mn1'
_space_group_name_H-M_alt 'P m -3 m'
_space_group_IT_number 221
_space_group_name_Hall '-P 4 2 3'
_cell_length_a 4.6847
_cell_length_b 4.6847
_cell_length_c 4.6847
_cell_angle_alpha 90.00
_cell_angle_beta 90.00
_cell_angle_gamma 90.00
loop_
_atom_site_label
_atom_site_fract_x
_atom_site_fract_y
_atom_site_fract_z
Zr1 0.0000 0.0000 0.0000
Ti1 0.0000 0.0000 0.5000
Mn1 0.5000 0.5000 0.5000
```

Output
volume	20.6	Å³ per atom
polymorph energy (0 for the lowest one)	7.06	eV/f.u.

***

[2]
Density functional theory data (PBE) for ZrTi2Mn2 after structural relaxation.

Cell and atoms, written as CIF:
```
data_ZrTi2Mn2
_chemical_formula_sum 'Zr2 Ti4 Mn4'
_space_group_name_H-M_alt 'I 4/m m m'
_space_group_IT_number 139
_space_group_name_Hall '-I 4 2'
_cell_length_a 4.1089
_cell_length_b 4.1089
_cell_length_c 9.5384
_cell_angle_alpha 90.00
_cell_angle_beta 90.00
_cell_angle_gamma 90.00
loop_
_atom_site_label
_atom_site_fract_x
_atom_site_fract_y
_atom_site_fract_z
Zr1 0.0000 0.0000 0.0000
Ti1 0.0000 0.0000 0.3699
Mn1 0.0000 0.5000 0.2500
```

Output
volume	16.1	Å³ per atom
polymorph energy (0 for the lowest one)	1.52	eV/f.u.

***

[3]
Density functional theory data (PBE) for ZrTiMn2 after structural relaxation.

Cell and atoms, written as CIF:
```
data_ZrTiMn2
_chemical_formula_sum 'Zr1 Ti1 Mn2'
_space_group_name_H-M_alt 'P 4/m m m'
_space_group_IT_number 123
_space_group_name_Hall '-P 4 2'
_cell_length_a 4.3787
_cell_length_b 4.3787
_cell_length_c 3.1226
_cell_angle_alpha 90.00
_cell_angle_beta 90.00
_cell_angle_gamma 90.00
loop_
_atom_site_label
_atom_site_fract_x
_atom_site_fract_y
_atom_site_fract_z
Zr1 0.0000 0.0000 0.0000
Ti1 0.5000 0.5000 0.0000
Mn1 0.0000 0.5000 0.5000
```

Output
volume	15.0	Å³ per atom
final energy	-35.1	eV/f.u.

***

> Which formula does entry 2 have?

ZrTi2Mn2